Crystalline Sr2VO4 at its relaxed geometry, computed with PBE+U.

Structure (extended XYZ):
```
56
Lattice="5.958 0.000 0.000 0.000 10.696 0.000 0.000 0.000 14.676" Properties=species:S:1:pos:R:3 pbc="T T T"
O 0.252 5.314 6.931
O 3.121 0.089 11.683
O 0.048 4.871 3.420
O 5.761 5.944 0.206
O 4.943 2.606 6.667
O 3.176 5.944 7.543
O 0.854 7.341 12.717
O 2.837 5.437 2.992
O 2.782 0.596 7.132
O 3.995 2.606 14.005
O 5.816 0.089 4.346
O 0.142 5.437 10.330
O 2.728 5.314 14.268
O 0.825 2.754 9.520
O 2.931 4.871 10.758
O 5.707 10.662 7.745
O 5.105 1.993 1.959
O 3.833 1.993 9.296
O 3.231 10.662 0.407
O 3.504 8.876 9.730
O 0.197 0.596 14.470
O 3.027 10.220 3.917
O 1.963 7.954 0.671
O 2.126 7.341 5.379
O 5.133 8.102 5.155
O 5.433 8.876 2.392
O 2.454 3.528 4.945
O 1.016 7.954 8.008
O 0.525 3.528 12.283
O 2.154 2.754 2.183
O 3.804 8.102 12.493
O 5.910 10.220 11.255
Sr 1.744 0.284 9.522
Sr 1.368 2.981 6.997
Sr 4.215 5.633 5.153
Sr 1.617 9.733 13.276
Sr 4.723 5.633 12.491
Sr 4.596 4.385 8.737
Sr 4.134 1.844 4.300
Sr 4.347 8.329 0.340
Sr 4.804 1.844 11.637
Sr 1.825 7.192 10.376
Sr 4.591 8.329 7.678
Sr 1.612 2.981 14.335
Sr 4.342 4.385 1.399
Sr 1.155 7.192 3.038
Sr 1.363 9.733 5.939
Sr 1.235 0.284 2.185
V 1.669 4.046 3.361
V 4.649 9.394 3.976
V 1.425 6.565 14.248
V 4.289 9.394 11.314
V 1.554 6.565 6.910
V 1.310 4.046 10.699
V 4.533 1.217 0.428
V 4.404 1.217 7.765
```

Calculated values
The value obtained for the volume is 16.7 Å³ per atom. The calculation puts the total energy at -387.67 eV for the cell shown.

***

Crystalline SrV4O8 at its relaxed geometry, computed with PBE+U.

Structure (extended XYZ):
```
13
Lattice="-4.155 -3.452 -2.713 1.956 -1.240 5.584 -3.084 5.844 1.077" Properties=species:S:1:pos:R:3 pbc="T T T"
O -3.336 -1.316 -1.548
O -5.039 1.284 1.396
O -1.947 2.468 5.496
O -2.365 -1.994 1.041
O -5.982 2.013 -1.293
O 0.699 -0.860 5.241
O -0.244 -0.132 2.552
O -2.918 3.146 2.906
V -0.548 -1.169 0.715
V -1.651 -3.522 2.155
V -5.504 2.810 0.376
V 0.221 -1.658 3.571
Sr -0.564 2.302 3.330
```

Calculated values
The value obtained for the volume is 14.4 Å³ per atom. The calculation puts the total energy at -99.36 eV for the cell shown.

***

Crystalline SrVO2 at its relaxed geometry, computed with PBE+U.

Structure (extended XYZ):
```
4
Lattice="2.189 0.000 6.164 -1.094 1.895 6.164 -1.094 -1.895 6.164" Properties=species:S:1:pos:R:3 pbc="T T T"
V 0.000 0.000 0.000
O 0.000 0.000 1.815
O 0.000 0.000 16.678
Sr 0.000 0.000 9.246
```

Calculated values
The value obtained for the volume is 19.2 Å³ per atom. The calculation puts the total energy at -27.02 eV for the cell shown.

***

Crystalline SrV10O15 at its relaxed geometry, computed with PBE+U.

Structure (extended XYZ):
```
52
Lattice="-5.774 3.626 -3.969 -4.165 -6.404 1.970 -2.833 4.326 8.073" Properties=species:S:1:pos:R:3 pbc="T T T"
V -6.603 -1.350 2.435
V -8.694 -0.477 7.238
V -4.262 3.259 6.659
V -8.510 -1.712 -0.585
V -6.818 2.766 -2.211
V -8.755 3.403 2.149
V -4.841 3.281 0.884
V -4.219 0.713 2.346
V -9.479 4.417 4.340
V -7.007 1.169 0.944
V -6.170 2.898 3.638
V -5.614 -4.745 2.236
V -5.954 -1.218 8.285
V -7.159 6.293 3.837
V -3.293 -2.870 1.734
V -7.931 -1.733 5.190
V -8.554 0.835 3.727
V -4.018 -1.855 3.925
V -4.078 2.025 -1.164
V -5.766 0.379 5.130
Sr -1.417 2.163 4.036
Sr -4.970 -1.389 -1.000
O -5.381 3.688 -1.092
O -7.762 0.341 5.558
O 0.000 0.000 0.000
O -5.676 2.335 5.482
O -8.159 2.819 4.091
O -5.999 -1.642 4.467
O -8.892 1.342 1.772
O -8.603 5.412 2.694
O -4.282 2.704 2.823
O -6.774 3.190 1.606
O -4.613 -1.271 1.982
O -10.227 0.918 7.223
O -5.386 1.210 -2.539
O -4.169 -3.865 3.380
O -7.848 1.706 -0.822
O -6.386 0.774 3.037
O -7.044 -3.309 2.148
O -2.219 0.743 1.856
O -5.011 1.207 0.515
O -7.096 -0.788 0.592
O -10.553 0.805 4.218
O -10.627 3.416 5.744
O -3.881 0.206 4.302
O -4.924 -0.158 6.895
O -8.491 -1.156 3.251
O -2.546 0.630 -1.150
O -4.553 -3.988 0.539
O -5.729 4.857 3.926
O -7.392 -2.140 7.165
O -2.145 -1.868 0.330
```

Calculated values
The value obtained for the volume is 11.4 Å³ per atom. The calculation puts the total energy at -408.87 eV for the cell shown.

***

Crystalline SrVO2 at its relaxed geometry, computed with PBE+U.

Structure (extended XYZ):
```
8
Lattice="-0.890 -3.208 3.637 -1.347 -3.389 -3.319 4.209 -5.120 -0.144" Properties=species:S:1:pos:R:3 pbc="T T T"
O 2.225 -6.548 -0.218
O 0.389 -3.487 1.571
O 0.038 -4.020 -1.405
O 1.293 -9.378 0.400
Sr 1.101 -5.813 1.826
Sr 0.000 0.000 0.000
V 0.872 -5.904 -1.652
V -1.118 -3.299 0.159
```

Calculated values
The value obtained for the volume is 17.1 Å³ per atom. The calculation puts the total energy at -53.25 eV for the cell shown.

***

Crystalline SrV2O at its relaxed geometry, computed with PBE+U.

Structure (extended XYZ):
```
8
Lattice="6.447 0.000 0.000 0.000 6.447 0.000 3.223 3.223 4.548" Properties=species:S:1:pos:R:3 pbc="T T T"
O 3.223 6.447 2.274
O 3.223 3.223 0.000
V 3.223 4.835 1.137
V 4.835 6.447 3.411
V 8.059 6.447 3.411
V 3.224 1.612 1.137
Sr 0.000 0.000 0.000
Sr 6.447 3.223 2.274
```

Calculated values
The value obtained for the volume is 23.6 Å³ per atom. The calculation puts the total energy at -45.17 eV for the cell shown.

***

Crystalline Sr2V2O7 at its relaxed geometry, computed with PBE+U.

Structure (extended XYZ):
```
44
Lattice="-2.071 -5.780 -3.719 -0.884 -3.600 6.219 -11.888 5.633 -0.630" Properties=species:S:1:pos:R:3 pbc="T T T"
O -11.621 -0.623 -0.929
O -0.878 -0.956 1.980
O -10.919 -3.444 -0.368
O -7.244 1.331 -1.475
O -12.343 2.009 -0.028
O -6.023 -4.448 1.180
O -4.822 -1.281 5.139
O -9.799 -2.487 1.963
O -13.966 -2.791 -0.110
O -5.044 -1.260 -0.094
O -11.129 0.992 5.380
O -8.289 -2.361 -0.430
O -3.661 -4.249 -0.720
O -6.003 1.231 1.158
O -10.398 1.591 -2.005
O -6.555 -1.385 2.300
O -1.802 -4.940 4.636
O -8.841 -4.977 0.711
O -13.041 1.193 -2.767
O -11.183 0.502 2.590
O -4.446 -5.338 3.875
O -3.222 -3.123 2.798
O -2.501 -5.755 1.897
O -8.821 0.702 0.689
O -10.021 -2.466 -3.270
O -3.715 -4.738 -3.511
O -7.600 -5.078 3.344
O -3.925 -0.303 2.237
Sr -12.296 -1.603 1.441
Sr -5.987 -3.336 -1.234
Sr -4.353 -6.860 0.525
Sr -5.854 -3.217 3.843
Sr -10.490 3.113 1.345
Sr -2.547 -2.143 0.428
Sr -8.856 -0.410 3.103
Sr -8.989 -0.529 -1.974
V -2.900 -5.032 -2.065
V -7.516 1.683 0.211
V -5.410 -0.488 1.409
V -11.944 1.285 3.934
V -9.433 -3.259 0.460
V -2.974 -4.788 3.227
V -11.870 1.042 -1.358
V -7.328 -5.429 1.658
```

Calculated values
The value obtained for the volume is 15.4 Å³ per atom. The calculation puts the total energy at -320.62 eV for the cell shown.

***

Crystalline Sr4V3O10 at its relaxed geometry, computed with PBE+U.

Structure (extended XYZ):
```
17
Lattice="-3.975 -8.302 11.216 -5.431 -11.497 6.990 7.192 8.737 -9.081" Properties=species:S:1:pos:R:3 pbc="T T T"
V -8.097 -17.043 15.671
V 0.000 0.000 0.000
V -1.310 -2.756 2.535
O -0.627 -1.319 1.213
O -0.414 -4.106 1.460
O -1.800 -6.957 7.664
O -2.528 -8.554 5.551
O -7.436 -15.651 14.392
O 0.881 -1.380 -1.046
O 1.608 0.217 1.067
O 0.313 -2.508 3.574
O -1.971 -4.148 3.814
O -8.780 -18.480 16.993
Sr -4.067 -8.561 7.872
Sr -6.617 -13.927 12.806
Sr -2.790 -5.872 5.400
Sr -5.339 -11.238 10.334
```

Calculated values
The value obtained for the volume is 12.7 Å³ per atom. The calculation puts the total energy at -121.34 eV for the cell shown.